# MnCdTe2

An optimized crystal structure of MnCdTe2 (PBE, Alexandria via LeMat-Bulk).

The structure in POSCAR format:
```
MnCdTe2
1.0
-1.5763 -1.6942 -2.2798
3.1064 -0.4447 -0.8395
0.3944 -8.1181 5.7603
Cd Mn Te
1 1 2
Cartesian
0.2153 -4.4314 3.1443
1.0576 -7.0905 2.7126
0.3629 -7.4711 5.3011
0.8803 -3.4414 0.1234
```

Properties
Fermi-level density of states, states/eV per cell: 2.311
VASP energy, eV/atom: -3.926
Spin magnetization, μB per cell: 3.5
Formation energy without anion corrections, eV/atom: 0.166

---

# SrCaSi2

An optimized crystal structure of SrCaSi2 (PBE, Alexandria via LeMat-Bulk).

The structure in POSCAR format:
```
SrCaSi2
1.0
8.2478 0.0000 0.0000
0.0000 8.2478 0.0000
4.1239 4.1239 3.1779
Sr Ca Si
2 2 4
Cartesian
0.0000 0.0000 0.0000
8.2478 4.1239 1.5890
4.1239 4.1239 0.0000
4.1239 8.2478 1.5890
6.0764 2.0620 0.7945
2.1715 6.1859 0.7945
6.1859 6.2954 2.3834
10.3098 10.2003 2.3834
```

Properties
Fermi-level density of states, states/eV per cell: 7.307
Offset from the most stable computed form, meV per atom: 683
VASP energy, eV/atom: -3.444
Spin magnetization, μB per cell: 0.0
Formation energy without anion corrections, eV/atom: 0.189

---

# Ac5Y3Se8

An optimized crystal structure of Ac5Y3Se8 (PBE, Alexandria via LeMat-Bulk).

The structure in POSCAR format:
```
Ac5Y3Se8
1.0
-2.1776 -6.0253 -5.6742
5.9983 -3.6102 -4.9225
2.3198 -8.3154 1.4855
Ac Y Se
5 3 8
Cartesian
-1.0888 -3.0127 -2.8371
1.9103 -4.8177 -5.2984
0.0000 0.0000 0.0000
2.9991 -1.8051 -2.4612
3.0702 -8.9754 -4.5556
0.0711 -7.1703 -2.0944
1.1599 -4.1577 0.7428
4.1590 -5.9628 -1.7185
2.6473 -8.4736 -1.5684
5.7680 -10.3518 -4.1293
1.5144 -11.6084 -4.5204
4.5753 -13.3166 -6.9774
3.4931 -9.4772 -7.5428
0.3724 -7.5990 -4.9819
4.6260 -6.3425 -4.5908
1.5651 -4.6342 -2.1338
```

Properties
Fermi-level density of states, states/eV per cell: 8.712
VASP energy, eV/atom: -6.042
Spin magnetization, μB per cell: 0.0
Formation energy without anion corrections, eV/atom: -1.804

---

# NaAcAs2Pd4

An optimized crystal structure of NaAcAs2Pd4 (PBE, Alexandria via LeMat-Bulk).

The structure in POSCAR format:
```
NaAcAs2Pd4
1.0
4.1379 0.0000 0.0000
0.0000 4.1379 0.0000
0.0000 0.0000 10.5093
Na Ac As Pd
1 1 2 4
Cartesian
0.0000 0.0000 5.2546
0.0000 0.0000 0.0000
2.0690 2.0690 3.6873
2.0690 2.0690 6.8220
0.0000 2.0690 2.3184
2.0690 0.0000 8.1909
2.0690 0.0000 2.3184
0.0000 2.0690 8.1909
```

Properties
Fermi-level density of states, states/eV per cell: 4.616
VASP energy, eV/atom: -4.935
E_form, eV/atom: -0.4974
Spin magnetization, μB per cell: 0.0

---

# LiCaTc2O8

An optimized crystal structure of LiCaTc2O8 (PBE, Alexandria via LeMat-Bulk).

The structure in POSCAR format:
```
LiCaTc2O8
1.0
-4.4799 1.4462 -2.2977
-0.2380 -4.6254 -2.4473
-0.6309 -0.6088 6.8182
Li Ca Tc O
1 1 2 8
Cartesian
-3.7349 -0.3761 1.0740
0.0000 0.0000 0.0000
-2.3589 -1.5896 -2.3725
-1.6139 -3.4119 0.9992
-3.5592 -2.8764 -2.5963
-2.1255 -1.0137 -0.7111
-3.1591 -2.7345 1.5297
-1.0474 -4.8090 1.9241
-0.4031 -2.1397 1.2079
-1.8460 -3.9644 -0.6648
-1.4336 -2.8799 3.9356
-3.5792 -0.8060 3.5182
```

Properties
Fermi-level density of states, states/eV per cell: 3.840
VASP energy, eV/atom: -7.145
Spin magnetization, μB per cell: 1.0
Formation energy without anion corrections, eV/atom: -1.786

---

# Cd4Ga2Hg5

An optimized crystal structure of Cd4Ga2Hg5 (PBE, Alexandria via LeMat-Bulk).

The structure in POSCAR format:
```
Cd4Ga2Hg5
1.0
-2.0739 -0.9070 -2.3304
5.9498 -6.7517 -2.6672
-5.8719 -1.9014 8.2300
Cd Ga Hg
4 2 5
Cartesian
1.2278 -4.8639 -1.4641
1.6165 -1.8343 -0.7246
-3.2237 -4.6961 4.6965
4.3333 -4.9174 -1.9425
-0.9172 -7.9886 1.6608
-1.0787 -1.5715 1.5716
0.2808 -3.9846 1.3009
-2.2767 -5.5755 1.9315
2.8399 -6.8886 0.1537
-1.0369 -0.4535 -1.1652
-4.8358 -2.6715 3.0787
```

Properties
Fermi-level density of states, states/eV per cell: 3.097
Offset from the most stable computed form, meV per atom: 24
VASP energy, eV/atom: -0.939
E_form, eV/atom: 0.0815
Spin magnetization, μB per cell: 0.0

---

# BaGa2Os

An optimized crystal structure of BaGa2Os (PBE, Alexandria via LeMat-Bulk).

The structure in POSCAR format:
```
BaGa2Os
1.0
0.0000 3.4923 3.4923
3.4923 0.0000 3.4923
3.4923 3.4923 0.0000
Os Ba Ga
1 1 2
Cartesian
3.4923 3.4923 3.4923
0.0000 0.0000 0.0000
1.7462 1.7462 1.7462
5.2385 5.2385 5.2385
```

Properties
Fermi-level density of states, states/eV per cell: 6.736
VASP energy, eV/atom: -4.319
E_form, eV/atom: 0.4821
Spin magnetization, μB per cell: 0.0

---

# CaNb2Tl

An optimized crystal structure of CaNb2Tl (PBE, Alexandria via LeMat-Bulk).

The structure in POSCAR format:
```
CaNb2Tl
1.0
-4.5446 4.3925 5.3314
-5.4091 -6.2321 0.5237
-3.5057 -2.0154 5.0843
Tl Ca Nb
2 2 4
Cartesian
0.0000 0.0000 0.0000
-6.5136 0.7286 6.6716
-4.9769 -0.9198 2.9276
-6.9459 -4.5837 4.2678
-4.5204 1.5856 4.8182
-4.6978 -3.9731 2.1153
-6.2103 -2.0267 5.9942
-11.4905 -3.2960 8.9512
```

Properties
Fermi-level density of states, states/eV per cell: 12.509
Offset from the most stable computed form, meV per atom: 119
VASP energy, eV/atom: -5.212
E_form, eV/atom: 0.9150
Spin magnetization, μB per cell: 0.0

---

# ZrFe2Ni

An optimized crystal structure of ZrFe2Ni (PBE, Alexandria via LeMat-Bulk).

The structure in POSCAR format:
```
ZrFe2Ni
1.0
-2.5169 -1.1119 3.1143
-0.9248 -2.0756 -1.4885
3.2198 -3.7933 1.2477
Fe Ni Zr
2 1 1
Cartesian
0.0787 -0.1417 0.0130
1.0688 -2.7927 -0.1334
-0.6847 -2.0232 1.4970
0.4628 -4.9576 1.3766
```

Properties
Fermi-level density of states, states/eV per cell: 5.140
VASP energy, eV/atom: -7.709
E_form, eV/atom: 0.1044
Spin magnetization, μB per cell: 5.0

---

# Tl6InPb

An optimized crystal structure of Tl6InPb (PBE, Alexandria via LeMat-Bulk).

The structure in POSCAR format:
```
Tl6InPb
1.0
-3.0123 -3.7521 3.1855
-3.3822 -2.1543 -5.7358
5.9541 -3.1015 1.9772
Tl In Pb
6 1 1
Cartesian
-0.0988 -3.2694 1.2823
1.1851 -5.8933 -0.5942
-0.1223 -1.2230 -1.5562
1.1773 -3.8788 -3.4555
2.8764 -2.7892 -0.5653
-1.8109 -2.3137 -4.4376
2.8554 -4.8159 2.2542
-1.7994 -4.3437 -1.5912
```

Properties
Fermi-level density of states, states/eV per cell: 4.471
Offset from the most stable computed form, meV per atom: 0
VASP energy, eV/atom: -2.572
E_form, eV/atom: 0.0084
Spin magnetization, μB per cell: 0.0

---

# Pa2GaNi3

An optimized crystal structure of Pa2GaNi3 (PBE, Alexandria via LeMat-Bulk).

The structure in POSCAR format:
```
Pa2GaNi3
1.0
-0.7037 5.1732 -1.2132
-4.8014 -1.9569 1.3584
4.0122 0.2273 7.0234
Pa Ga Ni
4 2 6
Cartesian
-1.7709 -0.0607 4.2273
-4.2618 2.4899 0.1125
0.2779 3.5043 2.9415
-1.2433 0.7264 0.0328
-2.3403 2.2089 2.3953
0.8473 1.2347 4.7734
-3.5429 0.1725 1.9068
0.0418 -0.2230 6.5222
2.0499 3.2711 5.2619
-1.5348 3.6666 0.6465
0.4297 0.6261 2.4205
-1.9227 2.8175 4.7482
```

Properties
Fermi-level density of states, states/eV per cell: 9.858
Offset from the most stable computed form, meV per atom: 37
VASP energy, eV/atom: -6.987
E_form, eV/atom: -0.4270
Spin magnetization, μB per cell: 0.0

---

# K2ZrAg

An optimized crystal structure of K2ZrAg (PBE, Alexandria via LeMat-Bulk).

The structure in POSCAR format:
```
K2ZrAg
1.0
5.6698 -0.0064 0.0000
0.0221 5.6698 0.0000
-2.8459 -2.8317 4.0036
Ag K Zr
1 2 1
Cartesian
2.8349 -0.0032 2.0018
0.0000 0.0000 0.0000
0.0110 2.8349 2.0018
2.8459 2.8317 0.0000
```

Properties
Fermi-level density of states, states/eV per cell: 5.351
Offset from the most stable computed form, meV per atom: 498
VASP energy, eV/atom: -2.507
E_form, eV/atom: 0.8919
Spin magnetization, μB per cell: 2.8